TlSiIr3: optimized geometry, GGA-PBE.

As for the total energy: -31.39 eV for the cell shown. Its total magnetization is 0.00 μB per formula unit. The value obtained for the energy above the most stable polymorph in this dataset is 0.000 eV per atom. The value obtained for the density is 14.9 g/cm³.

a b c (Å): 4.4870 4.4870 4.4870
angles (deg): 90.00 90.00 90.00
Space group Pm-3m (No. 221)
Inequivalent atoms, fractional coordinates:
Tl: 0.0000 0.0000 0.0000 [1 per cell]
Si: 0.5000 0.5000 0.5000 [1 per cell]
Ir: 0.0000 0.5000 0.5000 [3 per cell]